<i>
A relaxed structure of LuPaPd2, computed with PBE.

abc: 3.2140 3.2140 9.4956
angles: 80.26 80.26 60.00
Last column: nearest neighbours and their distance in Å.
Sites, in units of the cell vectors:
Pd (0.7556, 0.7556, 0.7332)  3 Lu 2.86, 3 Pa 3.10
Pd (0.2444, 0.2444, 0.2668)  3 Lu 2.86, 3 Pa 3.10
Pa (0.0000, 0.0000, 0.0000)  6 Pd 3.10, 6 Pa 3.21
Lu (0.5000, 0.5000, 0.5000)  6 Pd 2.86

Computed properties:
ρ in Mg/m³: 12.3
M_tot in μB/f.u.: 0.000

<ii>
A relaxed structure of LuPaPd2, computed with PBE.

abc: 3.3353 3.3353 7.4592
angles: 90.00 90.00 90.00
Last column: nearest neighbours and their distance in Å.
Sites, in units of the cell vectors:
Pa (0.5000, 0.5000, 0.0000)  8 Pd 3.09, 4 Pa 3.34
Pd (0.0000, 0.0000, 0.7332)  4 Lu 2.93, 4 Pa 3.09
Pd (0.0000, 0.0000, 0.2668)  4 Lu 2.93, 4 Pa 3.09
Lu (0.5000, 0.5000, 0.5000)  8 Pd 2.93

Computed properties:
ρ in Mg/m³: 12.4
M_tot in μB/f.u.: 0.895

Which one sits at the bottom of the stability order? <i> does.

<i>
A relaxed structure of CaTaAg2, computed with PBE.

abc: 4.9192 4.9192 6.3403
angles: 83.91 83.91 34.54
Last column: nearest neighbours and their distance in Å.
Sites, in units of the cell vectors:
Ag (0.5051, 0.5051, 0.4537)  3 Ta 2.85-2.90, 4 Ag 2.92-2.98, 1 Ca 3.13
Ag (0.9949, 0.9949, 0.0463)  3 Ta 2.85-2.90, 4 Ag 2.92-2.98, 1 Ca 3.13
Ta (0.2500, 0.2500, 0.2500)  6 Ag 2.85-2.90, 2 Ta 2.92
Ca (0.7500, 0.7500, 0.7500)  2 Ca 2.92, 6 Ag 3.13-3.23

Computed properties:
ρ in Mg/m³: 8.4
M_tot in μB/f.u.: 0.000

<ii>
A relaxed structure of CaTaAg2, computed with PBE.

abc: 7.9434 5.1771 3.0241
angles: 90.05 67.56 130.97
Last column: nearest neighbours and their distance in Å.
Sites, in units of the cell vectors:
Ca (0.0000, 0.5000, 0.5000)  8 Ag 3.00, 2 Ca 3.02
Ta (0.5000, 0.5000, 0.0000)  8 Ag 3.00, 2 Ta 3.02
Ag (0.0000, 0.0000, 0.0000)  4 Ca 3.00, 4 Ta 3.00, 2 Ag 3.02
Ag (0.5000, 0.0000, 0.5000)  4 Ta 3.00, 4 Ca 3.00, 2 Ag 3.02

Computed properties:
ρ in Mg/m³: 8.9
M_tot in μB/f.u.: 0.000

Which one sits at the bottom of the stability order? <i> does.

<i>
A relaxed structure of PbSeBr2, computed with PBE.

abc: 4.4213 5.9065 7.4982
angles: 50.71 90.00 90.00
Last column: nearest neighbours and their distance in Å.
Sites, in units of the cell vectors:
Pb (0.0000, 0.5363, 0.5125)  2 Br 2.84-3.12, 2 Se 2.97
Br (0.5000, 0.2298, 0.3467)  1 Se 2.38
Br (0.0000, 0.0156, 0.9779)  2 Pb 2.84-3.12
Se (0.5000, 0.7182, 0.6629)  1 Br 2.38

Computed properties:
ρ in Mg/m³: 4.9
M_tot in μB/f.u.: 0.000

<ii>
A relaxed structure of PbSeBr2, computed with PBE.

abc: 6.0325 6.0325 6.0325
angles: 143.53 118.06 74.06
Last column: nearest neighbours and their distance in Å.
Sites, in units of the cell vectors:
Se (0.2500, 0.7500, 0.5000)  4 Br 3.09
Pb (0.7500, 0.2500, 0.5000)  4 Br 3.03
Br (0.5034, 0.5034, 0.0000)  2 Pb 3.03, 2 Se 3.09
Br (0.9966, 0.9966, 0.0000)  2 Pb 3.03, 2 Se 3.09

Computed properties:
ρ in Mg/m³: 6.6
M_tot in μB/f.u.: 0.649

Which one sits at the bottom of the stability order? <ii> does.